BaCu9As4 | PBE-GGA | optimized geometry

The structure in CIF format:
```
data_BaCu9As4
_chemical_formula_sum 'Ba4 Cu36 As16'
_cell_length_a 8.386
_cell_length_b 8.386
_cell_length_c 12.489
_cell_angle_alpha 90.00
_cell_angle_beta 90.00
_cell_angle_gamma 90.00
_symmetry_space_group_name_H-M 'I 4/m c m'
_symmetry_Int_Tables_number 140
_symmetry_space_group_name_Hall '-I 4 2c'
loop_
_atom_site_label
_atom_site_type_symbol
_atom_site_fract_x
_atom_site_fract_y
_atom_site_fract_z
_atom_site_occupancy
Ba1 Ba 0.000 0.000 0.250 1
Cu1 Cu 0.000 0.500 0.000 1
Cu2 Cu 0.060 0.203 0.000 1
Cu3 Cu 0.116 0.384 0.176 1
As1 As 0.176 0.324 0.373 1
```

Properties
- Total DFT energy (no corrections): -4.24 eV/atom
- Formation energy from the elements: -0.14 eV/atom
- Density of states at the Fermi level: 15.95 states/eV/cell
- Calculated density: 7.63 Mg/m³